*w*
Material: PmPrTlIr
Method: DFT, PBE-GGA
State: optimized geometry

Results
Total moment (μB/atom): 0.000

Unit cell a=3.8020 b=5.0873 c=5.4081 alpha=90.00 beta=90.00 gamma=90.00
Last column: nearest neighbours and their distance in Å.
Space group Pmm2 (No. 25)
One atom of each set of equivalent atoms:
Pm (0.0000, 0.0000, 0.0000) (multiplicity 1)  4 Tl 3.19-3.42, 4 Ir 3.24
Pr (0.0000, 0.5000, 0.4698) (multiplicity 1)  2 Ir 2.94, 4 Tl 3.19
Tl (0.5000, 0.0000, 0.5256) (multiplicity 1)  4 Pr 3.19, 4 Pm 3.19-3.42, 2 Ir 3.20
Ir (0.5000, 0.5000, 0.8838) (multiplicity 1)  2 Pr 2.94, 2 Tl 3.20, 4 Pm 3.24

---

*x*
Material: PmPrTlIr
Method: DFT, PBE-GGA
State: optimized geometry

Results
Total moment (μB/atom): 0.000

Unit cell a=7.4454 b=7.4454 c=7.4454 alpha=90.00 beta=90.00 gamma=90.00
Last column: nearest neighbours and their distance in Å.
Space group F-43m (No. 216)
One atom of each set of equivalent atoms:
Pm (0.0000, 0.0000, 0.0000) (multiplicity 4)  4 Ir 3.22, 4 Tl 3.22
Pr (0.0000, 0.0000, 0.5000) (multiplicity 4)  4 Tl 3.22, 4 Ir 3.22
Tl (0.2500, 0.2500, 0.7500) (multiplicity 4)  4 Pr 3.22, 4 Pm 3.22
Ir (0.2500, 0.2500, 0.2500) (multiplicity 4)  4 Pr 3.22, 4 Pm 3.22

---

Which structure is most stable, and how do the rest compare? From most to least stable: *w*, *x*.